Computed, not measured: a relaxed CeCr2F8 crystal at the GGA+U level of DFT.

The structure in POSCAR format:
```
CeCr2F8
1.0
-1.9102 -3.4569 -2.1492
2.3296 2.3654 -5.2546
3.3829 -4.7157 4.5736
Ce F Cr
1 8 2
Direct
0.0000 0.0000 0.0000
0.2488 0.2134 0.8772
0.7512 0.7866 0.1228
0.2489 0.2128 0.3360
0.2637 0.6314 0.8155
0.7564 0.1719 0.5857
0.7363 0.3686 0.1845
0.2436 0.8281 0.4142
0.7511 0.7872 0.6639
0.2635 0.2335 0.6168
0.7365 0.7665 0.3832
```

D(E_F)	5.131	states/eV/f.u.
theoretical density	4.0	g cm⁻³
energy	-69.97	eV/cell
total magnetic moment	0.73	μB/atom